(1)
Entry from the Alexandria database: a relaxed CaMgPBr crystal (PBE-GGA).

Cell lengths 14.134, 14.134, 14.134 Å; angles 17.32, 17.32, 17.32 degrees
Fractional coordinates of all 8 atoms:
1 Ca 0.084 0.084 0.084
2 Ca 0.916 0.916 0.916
3 Mg 0.311 0.311 0.311
4 Mg 0.689 0.689 0.689
5 P 0.375 0.375 0.375
6 P 0.625 0.625 0.625
7 Br 0.212 0.212 0.212
8 Br 0.788 0.788 0.788

Calculated values
Total DFT energy (no corrections) = -4.04 eV/atom
Volume = 218.4 Å³ per cell
Magnetic moment = 0.00 μB/cell

=====

(2)
Entry from the Alexandria database: a relaxed Ca2MgPbBr8 crystal (PBE-GGA).

Cell lengths 6.604, 8.705, 6.939 Å; angles 90.00, 90.29, 90.00 degrees
Fractional coordinates of all 12 atoms:
1 Ca 0.000 0.239 0.000
2 Ca 0.000 0.761 0.000
3 Mg 0.500 0.000 0.500
4 Pb 0.500 0.500 0.500
5 Br 0.226 0.500 0.849
6 Br 0.244 0.000 0.823
7 Br 0.272 0.223 0.340
8 Br 0.272 0.777 0.340
9 Br 0.728 0.223 0.660
10 Br 0.728 0.777 0.660
11 Br 0.756 0.000 0.177
12 Br 0.774 0.500 0.151

Calculated values
Total DFT energy (no corrections) = -3.47 eV/atom
Volume = 398.9 Å³ per cell
Magnetic moment = 0.00 μB/cell

=====

(3)
Entry from the Alexandria database: a relaxed RbCaMg2Br crystal (PBE-GGA).

Cell lengths 6.885, 6.885, 7.844 Å; angles 90.00, 90.00, 90.00 degrees
Fractional coordinates of all 5 atoms:
1 Rb 0.000 0.000 0.000
2 Ca 0.000 0.000 0.500
3 Mg 0.000 0.500 0.000
4 Mg 0.500 0.000 0.000
5 Br 0.500 0.500 0.500

Calculated values
Volume = 371.8 Å³ per cell
Magnetic moment = 0.00 μB/cell
Energy above the most stable polymorph in this dataset = 754.9 meV/atom

=====

(4)
Entry from the Alexandria database: a relaxed Rb2CaMgBr6 crystal (PBE-GGA).

Cell lengths 7.857, 7.857, 7.857 Å; angles 60.00, 60.00, 60.00 degrees
Fractional coordinates of all 10 atoms:
1 Rb 0.250 0.250 0.250
2 Rb 0.750 0.750 0.750
3 Ca 0.000 0.000 0.000
4 Mg 0.500 0.500 0.500
5 Br 0.258 0.258 0.742
6 Br 0.258 0.742 0.258
7 Br 0.258 0.742 0.742
8 Br 0.742 0.258 0.258
9 Br 0.742 0.258 0.742
10 Br 0.742 0.742 0.258

Calculated values
Total DFT energy (no corrections) = -3.30 eV/atom
Volume = 342.9 Å³ per cell
Magnetic moment = 0.00 μB/cell

=====

(5)
Entry from the Alexandria database: a relaxed RbCaMg2Br crystal (PBE-GGA).

Cell lengths 6.541, 6.541, 5.652 Å; angles 90.00, 90.00, 90.00 degrees
Fractional coordinates of all 5 atoms:
1 Rb 0.000 0.000 0.000
2 Ca 0.500 0.500 0.500
3 Mg 0.000 0.500 0.500
4 Mg 0.500 0.000 0.500
5 Br 0.500 0.500 0.000

Calculated values
Volume = 241.8 Å³ per cell
Magnetic moment = 0.00 μB/cell
Energy above the most stable polymorph in this dataset = 0.0 meV/atom

=====

(6)
Entry from the Alexandria database: a relaxed Rb3CaMg2Br9 crystal (PBE-GGA).

Cell lengths 7.774, 7.774, 9.546 Å; angles 90.00, 90.00, 120.00 degrees
Fractional coordinates of all 15 atoms:
1 Rb 0.000 0.000 0.000
2 Rb 0.333 0.667 0.673
3 Rb 0.667 0.333 0.327
4 Ca 0.000 0.000 0.500
5 Mg 0.333 0.667 0.160
6 Mg 0.667 0.333 0.840
7 Br 0.000 0.500 0.000
8 Br 0.172 0.344 0.324
9 Br 0.172 0.828 0.324
10 Br 0.344 0.172 0.676
11 Br 0.500 0.000 0.000
12 Br 0.500 0.500 0.000
13 Br 0.656 0.828 0.324
14 Br 0.828 0.172 0.676
15 Br 0.828 0.656 0.676

Calculated values
Total DFT energy (no corrections) = -3.23 eV/atom
Volume = 499.6 Å³ per cell
Magnetic moment = 0.00 μB/cell

=====

(7)
Entry from the Alexandria database: a relaxed CaMgSe2Br crystal (PBE-GGA).

Cell lengths 5.639, 5.639, 5.113 Å; angles 90.00, 90.00, 90.00 degrees
Fractional coordinates of all 5 atoms:
1 Ca 0.000 0.000 0.000
2 Mg 0.500 0.500 0.000
3 Se 0.000 0.500 0.500
4 Se 0.500 0.000 0.500
5 Br 0.000 0.000 0.500

Calculated values
Volume = 162.6 Å³ per cell
Magnetic moment = 0.00 μB/cell
Energy above the most stable polymorph in this dataset = 959.1 meV/atom

=====

(8)
Entry from the Alexandria database: a relaxed CaMgSe2Br crystal (PBE-GGA).

Cell lengths 5.053, 5.053, 5.314 Å; angles 90.00, 90.00, 90.00 degrees
Fractional coordinates of all 5 atoms:
1 Ca 0.000 0.000 0.000
2 Mg 0.500 0.500 0.500
3 Se 0.000 0.500 0.500
4 Se 0.500 0.000 0.500
5 Br 0.500 0.500 0.000

Calculated values
Volume = 135.7 Å³ per cell
Magnetic moment = 0.00 μB/cell
Energy above the most stable polymorph in this dataset = 0.0 meV/atom